Computed, not measured: Dy3RuBr3 after structural relaxation at the PBE-GGA level of DFT.

POSCAR file:
```
Dy3RuBr3
1.0
8.524 0.000 0.000
0.000 4.101 0.000
-0.335 0.000 11.896
Dy Ru Br
6 2 6
Direct
0.100 0.250 0.325 Dy
0.143 0.250 0.864 Dy
0.269 0.750 0.103 Dy
0.731 0.250 0.897 Dy
0.857 0.750 0.136 Dy
0.900 0.750 0.675 Dy
0.053 0.250 0.095 Ru
0.947 0.750 0.905 Ru
0.131 0.250 0.601 Br
0.339 0.750 0.356 Br
0.434 0.750 0.870 Br
0.566 0.250 0.130 Br
0.661 0.250 0.644 Br
0.869 0.750 0.399 Br
```

Space group: No. 11
ρ: 6.614 Mg/m³
Energy relative to the elements, uncorrected: -28.9 kcal/mol of atoms
Magnetization: 0.0 μB per cell



Computed, not measured: Dy3SBr3 after structural relaxation at the PBE-GGA level of DFT.

POSCAR file:
```
Dy3SBr3
1.0
3.392 1.959 10.587
-3.392 1.959 10.587
0.000 -3.917 10.587
Dy S Br
6 2 6
Direct
0.046 0.385 0.707 Dy
0.293 0.954 0.615 Dy
0.385 0.707 0.046 Dy
0.615 0.293 0.954 Dy
0.707 0.046 0.385 Dy
0.954 0.615 0.293 Dy
0.333 0.333 0.333 S
0.667 0.667 0.667 S
0.104 0.772 0.436 Br
0.228 0.564 0.896 Br
0.436 0.104 0.772 Br
0.564 0.896 0.228 Br
0.772 0.436 0.104 Br
0.896 0.228 0.564 Br
```

Space group: No. 148
ρ: 5.974 Mg/m³
Energy relative to the elements, uncorrected: -38.2 kcal/mol of atoms
Magnetization: 0.0 μB per cell



Computed, not measured: DySBr after structural relaxation at the PBE-GGA level of DFT.

POSCAR file:
```
DySBr
1.0
7.138 -2.026 0.000
7.138 2.026 0.000
-0.371 0.000 7.062
Dy S Br
2 2 2
Direct
0.000 0.000 0.000 Dy
0.500 0.500 0.500 Dy
0.091 0.091 0.687 S
0.909 0.909 0.313 S
0.379 0.379 0.829 Br
0.621 0.621 0.171 Br
```

Space group: No. 12
ρ: 4.461 Mg/m³
Energy relative to the elements, uncorrected: -43.0 kcal/mol of atoms
Magnetization: 0.0 μB per cell



Computed, not measured: Dy3S4Br after structural relaxation at the PBE-GGA level of DFT.

POSCAR file:
```
Dy3S4Br
1.0
7.015 -3.479 0.000
7.015 3.479 0.000
-3.422 0.000 9.072
Dy S Br
6 8 2
Direct
0.006 0.994 0.500 Dy
0.343 0.385 0.278 Dy
0.385 0.343 0.778 Dy
0.581 0.607 0.691 Dy
0.607 0.581 0.191 Dy
0.994 0.006 0.000 Dy
0.018 0.336 0.148 S
0.179 0.789 0.240 S
0.233 0.575 0.552 S
0.336 0.018 0.648 S
0.396 0.716 0.929 S
0.575 0.233 0.052 S
0.716 0.396 0.429 S
0.789 0.179 0.740 S
0.634 0.946 0.350 Br
0.946 0.634 0.850 Br
```

Space group: No. 9
ρ: 5.217 Mg/m³
Energy relative to the elements, uncorrected: -45.9 kcal/mol of atoms
Magnetization: 0.0 μB per cell



Computed, not measured: DySBr after structural relaxation at the PBE-GGA level of DFT.

POSCAR file:
```
DySBr
1.0
4.075 0.000 0.000
-2.037 3.529 0.000
0.000 0.000 6.773
Dy S Br
1 1 1
Direct
0.000 0.000 0.000 Dy
0.667 0.333 0.178 S
0.333 0.667 0.730 Br
```

Space group: No. 156
ρ: 4.679 Mg/m³
Energy relative to the elements, uncorrected: -44.8 kcal/mol of atoms
Magnetization: 0.0 μB per cell



Computed, not measured: DySBr after structural relaxation at the PBE-GGA level of DFT.

POSCAR file:
```
DySBr
1.0
4.072 0.000 0.000
0.000 5.363 0.000
-1.483 0.000 9.739
Dy S Br
2 2 2
Direct
0.207 0.250 0.381 Dy
0.793 0.750 0.619 Dy
0.224 0.750 0.430 S
0.776 0.250 0.570 S
0.367 0.750 0.821 Br
0.633 0.250 0.179 Br
```

Space group: No. 11
ρ: 4.286 Mg/m³
Energy relative to the elements, uncorrected: -46.5 kcal/mol of atoms
Magnetization: 0.0 μB per cell



Computed, not measured: Dy7SBr12 after structural relaxation at the PBE-GGA level of DFT.

POSCAR file:
```
Dy7SBr12
1.0
7.310 4.221 3.238
-7.310 4.221 3.238
0.000 -8.441 3.238
Dy S Br
7 1 12
Direct
0.000 0.000 0.000 Dy
0.186 0.463 0.391 Dy
0.391 0.186 0.463 Dy
0.463 0.391 0.186 Dy
0.537 0.609 0.814 Dy
0.609 0.814 0.537 Dy
0.814 0.537 0.609 Dy
0.500 0.500 0.500 S
0.028 0.110 0.344 Br
0.110 0.344 0.028 Br
0.187 0.576 0.724 Br
0.276 0.813 0.424 Br
0.344 0.028 0.110 Br
0.424 0.276 0.813 Br
0.576 0.724 0.187 Br
0.656 0.972 0.890 Br
0.724 0.187 0.576 Br
0.813 0.424 0.276 Br
0.890 0.656 0.972 Br
0.972 0.890 0.656 Br
```

Space group: No. 148
ρ: 5.897 Mg/m³
Energy relative to the elements, uncorrected: -39.2 kcal/mol of atoms
Magnetization: 0.0 μB per cell



Computed, not measured: DySBr after structural relaxation at the PBE-GGA level of DFT.

POSCAR file:
```
DySBr
1.0
4.074 0.000 0.000
0.000 5.364 0.000
0.000 0.000 9.307
Dy S Br
2 2 2
Direct
0.250 0.250 0.125 Dy
0.750 0.750 0.875 Dy
0.250 0.750 0.073 S
0.750 0.250 0.927 S
0.250 0.750 0.664 Br
0.750 0.250 0.336 Br
```

Space group: No. 59
ρ: 4.481 Mg/m³
Energy relative to the elements, uncorrected: -46.5 kcal/mol of atoms
Magnetization: 0.0 μB per cell